Material: NaMn2O3
Method: DFT, GGA+U
State: relaxed

Computed properties:
- Uncorrected energy: -80.89 eV per cell

Cell: 2.899 9.175 5.455 Å, 90.00 90.00 90.00°
Space group Pmc2_1 (No. 26)
Symmetry-distinct sites (fractional):
Na1 0.000 0.101 0.000
Mn1 0.000 0.228 0.492
Mn2 0.500 0.446 0.998
O1 0.000 0.422 0.706
O2 0.500 0.120 0.655
O3 0.500 0.268 0.253